[1]
DFT (PBE-GGA) results for crystalline B2PtN at its relaxed geometry.

Computed properties:
V in Å³/atom: 9.25

Unit cell a=4.610 b=4.610 c=4.769 alpha=61.09 beta=61.09 gamma=90.00
Element x y z (fractional)
B 0.526 0.125 0.250
B 0.224 0.625 0.250
B 0.375 0.474 0.750
B 0.875 0.776 0.750
Pt 0.000 0.000 0.000
Pt 0.750 0.250 0.500
N 0.500 0.500 0.000
N 0.250 0.750 0.500

---

[2]
DFT (PBE-GGA) results for crystalline B3PtN at its relaxed geometry.

Computed properties:
V in Å³/atom: 8.40
Relative energy among the computed polymorphs in eV per atom: 0.000

Unit cell a=3.477 b=3.477 c=3.477 alpha=90.00 beta=90.00 gamma=90.00
Element x y z (fractional)
B 0.000 0.500 0.000
B 0.000 0.000 0.500
B 0.500 0.000 0.000
Pt 0.500 0.500 0.500
N 0.000 0.000 0.000

---

[3]
DFT (PBE-GGA) results for crystalline BPt3N at its relaxed geometry.

Computed properties:
V in Å³/atom: 14.37
Relative energy among the computed polymorphs in eV per atom: 0.000

Unit cell a=4.157 b=4.157 c=4.157 alpha=90.00 beta=90.00 gamma=90.00
Last column: magnetic moment on the atom in μB.
Element x y z (fractional)
B 0.000 0.000 0.000  0.00
Pt 0.000 0.500 0.000  0.27
Pt 0.000 0.000 0.500  0.15
Pt 0.500 0.000 0.000  0.26
N 0.500 0.500 0.500  1.11

---

[4]
DFT (PBE-GGA) results for crystalline BPt2N at its relaxed geometry.

Computed properties:
V in Å³/atom: 13.65
Relative energy among the computed polymorphs in eV per atom: 0.000

Unit cell a=4.736 b=4.736 c=5.909 alpha=66.38 beta=66.38 gamma=90.00
Element x y z (fractional)
B 0.500 0.500 0.000
B 0.250 0.750 0.500
Pt 0.622 0.125 0.250
Pt 0.128 0.625 0.250
Pt 0.375 0.378 0.750
Pt 0.875 0.872 0.750
N 0.000 0.000 0.000
N 0.750 0.250 0.500

---

[5]
DFT (PBE-GGA) results for crystalline B6PtN6 at its relaxed geometry.

Computed properties:
V in Å³/atom: 7.46

Unit cell a=4.594 b=4.594 c=4.594 alpha=90.00 beta=90.00 gamma=90.00
Element x y z (fractional)
B 0.254 0.000 0.500
B 0.000 0.500 0.254
B 0.500 0.746 0.000
B 0.746 0.000 0.500
B 0.000 0.500 0.746
B 0.500 0.254 0.000
Pt 0.500 0.500 0.500
N 0.000 0.246 0.500
N 0.000 0.754 0.500
N 0.500 0.000 0.754
N 0.754 0.500 0.000
N 0.500 0.000 0.246
N 0.246 0.500 0.000

---

[6]
DFT (PBE-GGA) results for crystalline B3PtN at its relaxed geometry.

Computed properties:
V in Å³/atom: 13.75
Relative energy among the computed polymorphs in eV per atom: 0.451

Unit cell a=4.097 b=4.097 c=4.097 alpha=90.00 beta=90.00 gamma=90.00
Last column: magnetic moment on the atom in μB.
Element x y z (fractional)
B 0.000 0.500 0.000  0.04
B 0.000 0.000 0.500  0.00
B 0.500 0.000 0.000  0.02
Pt 0.000 0.000 0.000  0.03
N 0.500 0.500 0.500  1.35

---

[7]
DFT (PBE-GGA) results for crystalline BPt2N at its relaxed geometry.

Computed properties:
V in Å³/atom: 11.10
Relative energy among the computed polymorphs in eV per atom: 0.698

Unit cell a=3.974 b=3.974 c=3.974 alpha=60.00 beta=60.00 gamma=60.00
Element x y z (fractional)
B 0.000 0.000 0.000
Pt 0.250 0.250 0.250
Pt 0.750 0.750 0.750
N 0.500 0.500 0.500

---

[8]
DFT (PBE-GGA) results for crystalline B2PtN at its relaxed geometry.

Computed properties:
V in Å³/atom: 11.04

Unit cell a=3.049 b=3.049 c=5.762 alpha=74.66 beta=74.66 gamma=60.00
Element x y z (fractional)
B 0.080 0.080 0.760
B 0.920 0.920 0.240
Pt 0.500 0.500 0.500
N 0.000 0.000 0.000

---

Number 1: uncorrected formation energy -84 meV per atom, spin magnetization 0.00 Bohr magnetons per cell. Number 2: uncorrected formation energy 1421 meV per atom, spin magnetization 0.00 Bohr magnetons per cell. Number 3: uncorrected formation energy 1121 meV per atom, spin magnetization 2.14 Bohr magnetons per cell. Number 4: uncorrected formation energy 463 meV per atom, spin magnetization 0.00 Bohr magnetons per cell. Number 5: uncorrected formation energy -226 meV per atom, spin magnetization 0.00 Bohr magnetons per cell. Number 6: uncorrected formation energy 1871 meV per atom, spin magnetization 2.00 Bohr magnetons per cell. Number 7: uncorrected formation energy 1161 meV per atom, spin magnetization 0.00 Bohr magnetons per cell. Number 8: uncorrected formation energy -92 meV per atom, spin magnetization 0.00 Bohr magnetons per cell.